No. 1
Density functional theory data (PBE) for a relaxed NiPtAu2 crystal.

Output
- space-group type = No. 119
- crystal system = tetragonal
- energy of formation from the pure elements (kJ/mol of atoms) = 8.6
- ΔE to the lowest computed polymorph (meV per atom) = 71

Lattice parameters (Å, degrees): 4.8577 4.8577 4.8577 131.33 131.33 71.29
Fractional coordinates of all 4 atoms:
Ni 0.0000 0.0000 0.0000
Pt 0.2500 0.7500 0.5000
Au 0.5000 0.5000 0.0000
Au 0.7500 0.2500 0.5000



No. 2
Density functional theory data (PBE) for a relaxed LuPa2Zn crystal.

Output
- space-group type = No. 166
- crystal system = trigonal
- energy of formation from the pure elements (kJ/mol of atoms) = 36.3

Lattice parameters (Å, degrees): 12.0131 12.0131 12.0131 15.06 15.06 15.06
Fractional coordinates of all 4 atoms:
Lu 0.0000 0.0000 0.0000
Pa 0.4142 0.4142 0.4142
Pa 0.5858 0.5858 0.5858
Zn 0.5000 0.5000 0.5000



No. 3
Density functional theory data (PBE) for a relaxed BWN3 crystal.

Output
- final energy (eV/atom) = -7.7976
- space-group type = No. 221
- crystal system = cubic

Lattice parameters (Å, degrees): 3.3512 3.3512 3.3512 90.00 90.00 90.00
Fractional coordinates of all 5 atoms:
B 0.0000 0.0000 0.0000
W 0.5000 0.5000 0.5000
N 0.0000 0.0000 0.5000
N 0.0000 0.5000 0.0000
N 0.5000 0.0000 0.0000



No. 4
Density functional theory data (PBE) for a relaxed SiPtO crystal.

Output
- space-group type = No. 156
- crystal system = trigonal
- ΔE to the lowest computed polymorph (meV per atom) = 260

Lattice parameters (Å, degrees): 2.8525 2.8525 6.9405 90.00 90.00 120.00
Fractional coordinates of all 3 atoms:
Si 0.0000 0.0000 0.0000
Pt 0.3333 0.6667 0.7457
O 0.6667 0.3333 0.1304



No. 5
Density functional theory data (PBE) for a relaxed Sm6SiTe2Se3 crystal.

Output
- final energy (eV/atom) = -5.7446
- space-group type = No. 12
- crystal system = monoclinic

Lattice parameters (Å, degrees): 9.5929 9.5929 8.5999 102.13 102.13 25.61
Fractional coordinates of all 12 atoms:
Sm 0.0037 0.0037 0.2687
Sm 0.3435 0.3435 0.4335
Sm 0.3441 0.3441 0.8975
Sm 0.6559 0.6559 0.1025
Sm 0.6565 0.6565 0.5665
Sm 0.9963 0.9963 0.7313
Si 0.5000 0.5000 0.5000
Te 0.1697 0.1697 0.8413
Te 0.8303 0.8303 0.1587
Se 0.1707 0.1707 0.3394
Se 0.5000 0.5000 0.0000
Se 0.8293 0.8293 0.6606



No. 6
Density functional theory data (PBE) for a relaxed HfBeV2 crystal.

Output
- space-group type = No. 122
- crystal system = tetragonal
- energy of formation from the pure elements (kJ/mol of atoms) = 45.8

Lattice parameters (Å, degrees): 5.5126 5.5126 5.5126 101.56 101.56 126.81
Fractional coordinates of all 8 atoms:
Hf 0.0000 0.0000 0.0000
Hf 0.7500 0.2500 0.5000
Be 0.2500 0.7500 0.5000
Be 0.5000 0.5000 0.0000
V 0.1679 0.6250 0.0429
V 0.3750 0.4179 0.5429
V 0.5821 0.1250 0.9571
V 0.8750 0.8321 0.4571



No. 7
Density functional theory data (PBE) for a relaxed BeCd2 crystal.

Output
- space-group type = No. 164
- crystal system = trigonal
- energy of formation from the pure elements (kJ/mol of atoms) = 35.8
- ΔE to the lowest computed polymorph (meV per atom) = 123

Lattice parameters (Å, degrees): 3.0785 3.0785 6.5531 90.00 90.00 120.00
Fractional coordinates of all 3 atoms:
Be 0.0000 0.0000 0.0000
Cd 0.3333 0.6667 0.2986
Cd 0.6667 0.3333 0.7014



No. 8
Density functional theory data (PBE) for a relaxed PaSnPd crystal.

Output
- space-group type = No. 187
- crystal system = hexagonal
- energy of formation from the pure elements (kJ/mol of atoms) = -49.0

Lattice parameters (Å, degrees): 4.7449 4.7449 3.4045 90.00 90.00 120.00
Fractional coordinates of all 3 atoms:
Pa 0.0000 0.0000 0.0000
Sn 0.3333 0.6667 0.5000
Pd 0.6667 0.3333 0.5000



| no. | V (Å³/cell) |
| --- | --- |
| 1 | 63 |
| 2 | 102 |
| 3 | 38 |
| 4 | 49 |
| 5 | 334 |
| 6 | 120 |
| 7 | 54 |
| 8 | 66 |